<A>
Below is a relaxed La12Pm2Dy5 crystal, with properties calculated at the PBE level.

Properties
space group: C2/m (12)

Lattice parameters (Å, degrees): 11.8542 8.9157 9.5709 70.23 90.00 131.67
Positions (direct):
La: 0.1011 0.2022 0.0760
La: 0.0467 0.5746 0.8114
La: 0.5279 0.5746 0.8114
La: 0.1565 0.7908 0.4067
La: 0.6343 0.7908 0.4067
La: 0.4353 0.8707 0.7742
La: 0.5647 0.1293 0.2258
La: 0.8435 0.2092 0.5933
La: 0.3657 0.2092 0.5933
La: 0.9533 0.4254 0.1886
La: 0.4721 0.4254 0.1886
La: 0.8989 0.7978 0.9240
Pm: 0.7144 0.0000 0.0000
Pm: 0.2856 0.0000 0.0000
Dy: 0.2160 0.4319 0.6397
Dy: 0.3046 0.6093 0.2322
Dy: 0.0000 0.0000 0.5000
Dy: 0.6954 0.3907 0.7678
Dy: 0.7840 0.5681 0.3603


<B>
Below is a relaxed La12Pm2Dy5 crystal, with properties calculated at the PBE level.

Properties
space group: C2/m (12)

Lattice parameters (Å, degrees): 11.8720 10.9028 6.3098 100.08 90.00 122.99
Positions (direct):
La: 0.1164 0.2328 0.0070
La: 0.0644 0.6079 0.8014
La: 0.5435 0.6079 0.8014
La: 0.1427 0.7875 0.3792
La: 0.6448 0.7875 0.3792
La: 0.4438 0.8876 0.7290
La: 0.5562 0.1124 0.2710
La: 0.8573 0.2125 0.6208
La: 0.3552 0.2125 0.6208
La: 0.9356 0.3921 0.1986
La: 0.4565 0.3921 0.1986
La: 0.8836 0.7672 0.9930
Pm: 0.7665 0.0000 0.0000
Pm: 0.2335 0.0000 0.0000
Dy: 0.2154 0.4309 0.5579
Dy: 0.3182 0.6363 0.1424
Dy: 0.0000 0.0000 0.5000
Dy: 0.6818 0.3637 0.8576
Dy: 0.7846 0.5691 0.4421


Stability, highest: <B>


<A>
Below is a relaxed La4PmDy7 crystal, with properties calculated at the PBE level.

Properties
space group: C2/m (12)

Lattice parameters (Å, degrees): 5.9837 11.8882 6.7871 83.56 63.84 75.42
Positions (direct):
La: 0.6349 0.2226 0.5077
La: 0.3651 0.7774 0.4923
La: 0.7804 0.6643 0.7748
La: 0.2196 0.3357 0.2252
Pm: 0.0000 0.0000 0.0000
Dy: 0.7891 0.9238 0.4980
Dy: 0.2109 0.0762 0.5020
Dy: 0.0706 0.6885 0.1704
Dy: 0.9294 0.3115 0.8296
Dy: 0.3668 0.4946 0.7718
Dy: 0.5000 0.0000 0.0000
Dy: 0.6332 0.5054 0.2282


<B>
Below is a relaxed La4PmDy7 crystal, with properties calculated at the PBE level.

Properties
space group: P-3m1 (164)

Lattice parameters (Å, degrees): 3.6253 3.6253 35.2729 90.00 90.00 120.00
Positions (direct):
La: 0.3333 0.6667 0.9162
La: 0.6667 0.3333 0.0838
La: 0.3333 0.6667 0.6666
La: 0.6667 0.3333 0.3334
Pm: 0.0000 0.0000 0.5000
Dy: 0.0000 0.0000 0.0000
Dy: 0.3333 0.6667 0.4177
Dy: 0.6667 0.3333 0.5823
Dy: 0.3333 0.6667 0.1683
Dy: 0.6667 0.3333 0.8317
Dy: 0.0000 0.0000 0.7512
Dy: 0.0000 0.0000 0.2488


Stability, highest: <B>


<A>
Below is a relaxed LaPm3Dy5 crystal, with properties calculated at the PBE level.

Properties
space group: I4/mcm (140)

Lattice parameters (Å, degrees): 8.7331 8.7331 9.9769 115.96 115.96 90.00
Positions (direct):
La: 0.7500 0.2500 0.5000
La: 0.2500 0.7500 0.5000
Pm: 0.6182 0.1182 0.0000
Pm: 0.3818 0.8818 0.0000
Pm: 0.8818 0.6182 0.0000
Pm: 0.1182 0.3818 0.0000
Pm: 0.2500 0.2500 0.5000
Pm: 0.7500 0.7500 0.5000
Dy: 0.0701 0.5701 0.7277
Dy: 0.6575 0.1575 0.7277
Dy: 0.1575 0.0701 0.7277
Dy: 0.5701 0.6575 0.7277
Dy: 0.9299 0.4299 0.2723
Dy: 0.3425 0.8425 0.2723
Dy: 0.8425 0.9299 0.2723
Dy: 0.4299 0.3425 0.2723
Dy: 0.5000 0.5000 0.0000
Dy: 0.0000 0.0000 0.0000


<B>
Below is a relaxed LaPm3Dy5 crystal, with properties calculated at the PBE level.

Properties
space group: C2/c (15)

Lattice parameters (Å, degrees): 6.0764 10.1447 11.3330 111.52 90.00 107.43
Positions (direct):
La: 0.8758 0.0000 0.7500
La: 0.1242 0.0000 0.2500
Pm: 0.0000 0.0000 0.0000
Pm: 0.4015 0.3565 0.3632
Pm: 0.0000 0.0000 0.5000
Pm: 0.5985 0.6435 0.6368
Pm: 0.9550 0.3565 0.8632
Pm: 0.0450 0.6435 0.1368
Dy: 0.3899 0.0000 0.7500
Dy: 0.5657 0.6608 0.9700
Dy: 0.9059 0.3263 0.1978
Dy: 0.4343 0.3392 0.0300
Dy: 0.5796 0.6737 0.3022
Dy: 0.6101 0.0000 0.2500
Dy: 0.0951 0.6608 0.4700
Dy: 0.9049 0.3392 0.5300
Dy: 0.4204 0.3263 0.6978
Dy: 0.0941 0.6737 0.8022


Stability, highest: <A>


<A>
Below is a relaxed La2Pm5Dy crystal, with properties calculated at the PBE level.

Properties
space group: Cmcm (63)

Lattice parameters (Å, degrees): 5.7438 6.6828 16.3563 90.00 90.00 115.45
Positions (direct):
La: 0.7802 0.5605 0.3701
La: 0.7802 0.5605 0.1299
La: 0.2198 0.4395 0.6299
La: 0.2198 0.4395 0.8701
Pm: 0.9221 0.8443 0.9084
Pm: 0.9221 0.8443 0.5916
Pm: 0.3824 0.7648 0.4489
Pm: 0.3824 0.7648 0.0511
Pm: 0.5367 0.0735 0.2500
Pm: 0.4633 0.9265 0.7500
Pm: 0.6176 0.2352 0.5511
Pm: 0.6176 0.2352 0.9489
Pm: 0.0779 0.1557 0.0916
Pm: 0.0779 0.1557 0.4084
Dy: 0.7418 0.4835 0.7500
Dy: 0.2582 0.5165 0.2500


<B>
Below is a relaxed La2Pm5Dy crystal, with properties calculated at the PBE level.

Properties
space group: C2/c (15)

Lattice parameters (Å, degrees): 6.5192 12.3259 14.9408 91.90 77.40 74.67
Positions (direct):
La: 0.2921 0.0955 0.7310
La: 0.7383 0.1170 0.0587
La: 0.9140 0.3830 0.4413
La: 0.8815 0.5955 0.2310
La: 0.1185 0.4045 0.7690
La: 0.0860 0.6170 0.5587
La: 0.2617 0.8830 0.9413
La: 0.7079 0.9045 0.2690
Pm: 0.2007 0.0003 0.1681
Pm: 0.2957 0.0861 0.4806
Pm: 0.8002 0.1778 0.6350
Pm: 0.3782 0.2013 0.2876
Pm: 0.8671 0.2987 0.2124
Pm: 0.2591 0.1667 0.9690
Pm: 0.3948 0.3333 0.5310
Pm: 0.3691 0.4997 0.3319
Pm: 0.1377 0.5861 0.9806
Pm: 0.6131 0.3222 0.8650
Pm: 0.3869 0.6778 0.1350
Pm: 0.8623 0.4139 0.0194
Pm: 0.6309 0.5003 0.6681
Pm: 0.6052 0.6667 0.4690
Pm: 0.7409 0.8333 0.0310
Pm: 0.1329 0.7013 0.7876
Pm: 0.6218 0.7987 0.7124
Pm: 0.1998 0.8222 0.3650
Pm: 0.7043 0.9139 0.5194
Pm: 0.7993 0.9997 0.8319
Dy: 0.8466 0.1146 0.3873
Dy: 0.3486 0.3854 0.1127
Dy: 0.6514 0.6146 0.8873
Dy: 0.1533 0.8854 0.6127


Stability, highest: <B>